No. 1
The following is a GGA-PBEsol calculation of a relaxed RbSiAu2 crystal, from Alexandria via LeMat-Bulk.

Output
Total DFT energy (no corrections) in eV/atom: -3.79
D(E_F) in states/eV per cell: 9.05
Magnetization in μB per formula unit: 0.00
Formation energy (no corrections) in kJ/mol of atoms: -13.1

abc: 5.477 5.477 15.699
angles: 90.00 90.00 90.00
Space group I4_1/amd (No. 141, origin choice 2)
Symmetry-distinct sites (fractional):
Rb1 0.000 0.250 0.375 x4
Si1 0.000 0.250 0.875 x4
Au1 0.000 0.000 0.000 x8

***

No. 2
The following is a GGA-PBEsol calculation of a relaxed Rb3Sn4Au crystal, from Alexandria via LeMat-Bulk.

Output
Total DFT energy (no corrections) in eV/atom: -3.32
Magnetization in μB per formula unit: 0.00
ΔE_f in meV/atom: -320

abc: 7.015 13.070 6.551
angles: 90.00 90.00 90.00
Space group Pmmn (No. 59, origin choice 2)
Symmetry-distinct sites (fractional):
Rb1 0.250 0.006 0.170 x4
Rb2 0.250 0.250 0.553 x2
Sn1 0.026 0.750 0.962 x4
Sn2 0.250 0.632 0.666 x4
Au1 0.250 0.750 0.313 x2

***

No. 3
The following is a GGA-PBEsol calculation of a relaxed RbTlSnAu2 crystal, from Alexandria via LeMat-Bulk.

Output
Total DFT energy (no corrections) in eV/atom: -2.54
D(E_F) in states/eV per cell: 3.23
Magnetization in μB per formula unit: 0.00
ΔE_f in meV/atom: 610

abc: 5.243 5.243 5.952
angles: 90.00 90.00 90.00
Space group P4/mmm (No. 123)
Symmetry-distinct sites (fractional):
Rb1 0.000 0.000 0.000 x1
Tl1 0.000 0.000 0.500 x1
Sn1 0.500 0.500 0.000 x1
Au1 0.000 0.500 0.500 x2

***

No. 4
The following is a GGA-PBEsol calculation of a relaxed RbTaAu2 crystal, from Alexandria via LeMat-Bulk.

Output
Total DFT energy (no corrections) in eV/atom: -4.39
D(E_F) in states/eV per cell: 20.80
Magnetization in μB per formula unit: 1.11
ΔE_f in meV/atom: 965

abc: 7.007 7.007 7.007
angles: 90.00 90.00 90.00
Space group Fm-3m (No. 225)
Symmetry-distinct sites (fractional):
Rb1 0.000 0.000 0.000 x4
Ta1 0.000 0.000 0.500 x4
Au1 0.250 0.250 0.250 x8

***

No. 5
The following is a GGA-PBEsol calculation of a relaxed RbTaW2Au crystal, from Alexandria via LeMat-Bulk.

Output
Total DFT energy (no corrections) in eV/atom: -7.06
D(E_F) in states/eV per cell: 5.60
Magnetization in μB per formula unit: 1.93
ΔE_f in meV/atom: 1963

abc: 4.849 4.849 5.360
angles: 90.00 90.00 90.00
Space group P4/mmm (No. 123)
Symmetry-distinct sites (fractional):
Rb1 0.000 0.000 0.000 x1
Ta1 0.500 0.500 0.500 x1
W1 0.000 0.500 0.500 x2
Au1 0.500 0.500 0.000 x1

***

No. 6
The following is a GGA-PBEsol calculation of a relaxed RbTiAu3 crystal, from Alexandria via LeMat-Bulk.

Output
Total DFT energy (no corrections) in eV/atom: -4.01
D(E_F) in states/eV per cell: 3.00
Magnetization in μB per formula unit: 1.01
ΔE_f in meV/atom: 219

abc: 5.082 5.082 5.082
angles: 90.00 90.00 90.00
Space group Pm-3m (No. 221)
Symmetry-distinct sites (fractional):
Rb1 0.000 0.000 0.000 x1
Ti1 0.500 0.500 0.500 x1
Au1 0.000 0.500 0.500 x3

***

No. 7
The following is a GGA-PBEsol calculation of a relaxed RbTi3Au crystal, from Alexandria via LeMat-Bulk.

Output
Total DFT energy (no corrections) in eV/atom: -5.01
D(E_F) in states/eV per cell: 5.85
Magnetization in μB per formula unit: 0.00
ΔE_f in meV/atom: 969

abc: 5.026 5.026 5.026
angles: 90.00 90.00 90.00
Space group Pm-3m (No. 221)
Symmetry-distinct sites (fractional):
Rb1 0.000 0.000 0.000 x1
Ti1 0.000 0.500 0.500 x3
Au1 0.500 0.500 0.500 x1

***

No. 8
The following is a GGA-PBEsol calculation of a relaxed Rb2TlAu3 crystal, from Alexandria via LeMat-Bulk.

Output
Total DFT energy (no corrections) in eV/atom: -2.96
D(E_F) in states/eV per cell: 1.04
Magnetization in μB per formula unit: 0.00
ΔE_f in meV/atom: -216

abc: 5.649 6.709 9.021
angles: 90.00 90.00 90.00
Space group Pmma (No. 51)
Symmetry-distinct sites (fractional):
Rb1 0.250 0.000 0.129 x2
Rb2 0.250 0.500 0.368 x2
Tl1 0.250 0.500 0.928 x2
Au1 0.000 0.000 0.500 x2
Au2 0.250 0.209 0.715 x4

***

No. 9
The following is a GGA-PBEsol calculation of a relaxed RbTl2Au2 crystal, from Alexandria via LeMat-Bulk.

Output
Total DFT energy (no corrections) in eV/atom: -2.93
D(E_F) in states/eV per cell: 3.34
Magnetization in μB per formula unit: 0.00
ΔE_f in meV/atom: -102

abc: 5.171 5.171 10.728
angles: 90.00 90.00 90.00
Space group I4/mmm (No. 139)
Symmetry-distinct sites (fractional):
Rb1 0.000 0.000 0.000 x2
Tl1 0.000 0.000 0.356 x4
Au1 0.000 0.500 0.250 x4

***

No. 10
The following is a GGA-PBEsol calculation of a relaxed RbZnAu3 crystal, from Alexandria via LeMat-Bulk.

Output
Total DFT energy (no corrections) in eV/atom: -2.80
D(E_F) in states/eV per cell: 1.30
Magnetization in μB per formula unit: 0.00
ΔE_f in meV/atom: 76

abc: 4.952 4.952 4.952
angles: 90.00 90.00 90.00
Space group Pm-3m (No. 221)
Symmetry-distinct sites (fractional):
Rb1 0.000 0.000 0.000 x1
Zn1 0.500 0.500 0.500 x1
Au1 0.000 0.500 0.500 x3

***

No. 11
The following is a GGA-PBEsol calculation of a relaxed Rb3ZnAu crystal, from Alexandria via LeMat-Bulk.

Output
ΔE to the lowest computed polymorph in kJ per mole of atoms: 0.00
Total DFT energy (no corrections) in eV/atom: -1.51
D(E_F) in states/eV per cell: 5.38
Magnetization in μB per formula unit: 0.78
ΔE_f in meV/atom: 208

abc: 6.481 6.481 6.481
angles: 90.00 90.00 90.00
Space group Pm-3m (No. 221)
Symmetry-distinct sites (fractional):
Rb1 0.000 0.000 0.500 x3
Zn1 0.500 0.500 0.500 x1
Au1 0.000 0.000 0.000 x1

***

No. 12
The following is a GGA-PBEsol calculation of a relaxed Rb2ZnAu2 crystal, from Alexandria via LeMat-Bulk.

Output
Total DFT energy (no corrections) in eV/atom: -2.33
D(E_F) in states/eV per cell: 2.99
Magnetization in μB per formula unit: 0.00
ΔE_f in meV/atom: -33

abc: 6.565 6.565 7.630
angles: 90.00 90.00 90.00
Space group I4/mmm (No. 139)
Symmetry-distinct sites (fractional):
Rb1 0.000 0.500 0.250 x4
Zn1 0.000 0.000 0.000 x2
Au1 0.000 0.000 0.327 x4

***

No. 13
The following is a GGA-PBEsol calculation of a relaxed RbZn2Au2 crystal, from Alexandria via LeMat-Bulk.

Output
Total DFT energy (no corrections) in eV/atom: -2.54
D(E_F) in states/eV per cell: 2.87
Magnetization in μB per formula unit: 0.00
ΔE_f in meV/atom: -137

abc: 4.569 4.569 10.666
angles: 90.00 90.00 90.00
Space group I4/mmm (No. 139)
Symmetry-distinct sites (fractional):
Rb1 0.000 0.000 0.000 x2
Zn1 0.000 0.500 0.250 x4
Au1 0.000 0.000 0.369 x4

***

No. 14
The following is a GGA-PBEsol calculation of a relaxed ReAu2 crystal, from Alexandria via LeMat-Bulk.

Output
Total DFT energy (no corrections) in eV/atom: -6.60
D(E_F) in states/eV per cell: 9.46
Magnetization in μB per formula unit: 0.00
ΔE_f in meV/atom: 461

abc: 2.709 2.709 26.747
angles: 90.00 90.00 90.00
Space group I4_1/amd (No. 141, origin choice 2)
Symmetry-distinct sites (fractional):
Re1 0.000 0.250 0.375 x4
Au1 0.000 0.250 0.797 x8

***

No. 15
The following is a GGA-PBEsol calculation of a relaxed ReRhAu3 crystal, from Alexandria via LeMat-Bulk.

Output
Total DFT energy (no corrections) in eV/atom: -4.72
D(E_F) in states/eV per cell: 8.92
Magnetization in μB per formula unit: 1.31
ΔE_f in meV/atom: 1926

abc: 4.864 4.864 4.864
angles: 90.00 90.00 90.00
Space group Pm-3m (No. 221)
Symmetry-distinct sites (fractional):
Re1 0.000 0.000 0.000 x1
Rh1 0.500 0.500 0.500 x1
Au1 0.000 0.000 0.500 x3

***

No. 16
The following is a GGA-PBEsol calculation of a relaxed ReRhAu2 crystal, from Alexandria via LeMat-Bulk.

Output
ΔE to the lowest computed polymorph in kJ per mole of atoms: 0.00
Total DFT energy (no corrections) in eV/atom: -7.13
D(E_F) in states/eV per cell: 3.05
Magnetization in μB per formula unit: 0.00
ΔE_f in meV/atom: 198

abc: 2.775 3.879 5.710
angles: 90.00 90.00 90.00
Space group Pmm2 (No. 25)
Symmetry-distinct sites (fractional):
Re1 0.000 0.000 0.000 x1
Rh1 0.500 0.500 0.200 x1
Au1 0.000 0.000 0.473 x1
Au2 0.500 0.500 0.732 x1

***

No. 17
The following is a GGA-PBEsol calculation of a relaxed ReRh2Au crystal, from Alexandria via LeMat-Bulk.

Output
ΔE to the lowest computed polymorph in kJ per mole of atoms: 33.87
Total DFT energy (no corrections) in eV/atom: -8.10
D(E_F) in states/eV per cell: 5.51
Magnetization in μB per formula unit: 0.00
ΔE_f in meV/atom: 282

abc: 3.913 3.913 3.776
angles: 90.00 90.00 90.00
Space group P4/mmm (No. 123)
Symmetry-distinct sites (fractional):
Re1 0.000 0.000 0.000 x1
Rh1 0.000 0.500 0.500 x2
Au1 0.500 0.500 0.000 x1

***

No. 18
The following is a GGA-PBEsol calculation of a relaxed ReRhAu crystal, from Alexandria via LeMat-Bulk.

Output
Total DFT energy (no corrections) in eV/atom: -8.37
D(E_F) in states/eV per cell: 3.50
Magnetization in μB per formula unit: 0.00
ΔE_f in meV/atom: 92

abc: 2.766 2.766 11.717
angles: 90.00 90.00 90.00
Space group I4mm (No. 107)
Symmetry-distinct sites (fractional):
Re1 0.000 0.000 0.000 x2
Rh1 0.000 0.000 0.645 x2
Au1 0.000 0.000 0.325 x2

***

No. 19
The following is a GGA-PBEsol calculation of a relaxed ReRhAu2 crystal, from Alexandria via LeMat-Bulk.

Output
ΔE to the lowest computed polymorph in kJ per mole of atoms: 31.17
Total DFT energy (no corrections) in eV/atom: -6.81
D(E_F) in states/eV per cell: 7.81
Magnetization in μB per formula unit: 0.00
ΔE_f in meV/atom: 521

abc: 6.258 6.258 6.258
angles: 90.00 90.00 90.00
Space group Fm-3m (No. 225)
Symmetry-distinct sites (fractional):
Re1 0.000 0.000 0.000 x4
Rh1 0.000 0.000 0.500 x4
Au1 0.250 0.250 0.250 x8

***

No. 20
The following is a GGA-PBEsol calculation of a relaxed ReRh2Au crystal, from Alexandria via LeMat-Bulk.

Output
ΔE to the lowest computed polymorph in kJ per mole of atoms: 49.85
Total DFT energy (no corrections) in eV/atom: -7.94
D(E_F) in states/eV per cell: 4.20
Magnetization in μB per formula unit: 0.00
ΔE_f in meV/atom: 448

abc: 2.743 4.567 4.717
angles: 90.00 90.00 90.00
Space group Pmmm (No. 47)
Symmetry-distinct sites (fractional):
Re1 0.000 0.000 0.000 x1
Rh1 0.000 0.500 0.500 x1
Rh2 0.500 0.500 0.000 x1
Au1 0.500 0.000 0.500 x1

***

No. 21
The following is a GGA-PBEsol calculation of a relaxed ReRh2Au crystal, from Alexandria via LeMat-Bulk.

Output
ΔE to the lowest computed polymorph in kJ per mole of atoms: 0.00
Total DFT energy (no corrections) in eV/atom: -8.45
D(E_F) in states/eV per cell: 3.38
Magnetization in μB per formula unit: 0.00
ΔE_f in meV/atom: -69

abc: 2.748 2.748 7.724
angles: 90.00 90.00 90.00
Space group P4/mmm (No. 123)
Symmetry-distinct sites (fractional):
Re1 0.000 0.000 0.000 x1
Rh1 0.500 0.500 0.230 x2
Au1 0.000 0.000 0.500 x1

***

No. 22
The following is a GGA-PBEsol calculation of a relaxed ReRh2Au crystal, from Alexandria via LeMat-Bulk.

Output
ΔE to the lowest computed polymorph in kJ per mole of atoms: 44.37
Total DFT energy (no corrections) in eV/atom: -7.99
D(E_F) in states/eV per cell: 21.50
Magnetization in μB per formula unit: 0.00
ΔE_f in meV/atom: 391

abc: 6.172 6.172 6.172
angles: 90.00 90.00 90.00
Space group Fm-3m (No. 225)
Symmetry-distinct sites (fractional):
Re1 0.000 0.000 0.000 x4
Rh1 0.250 0.250 0.250 x8
Au1 0.000 0.000 0.500 x4

***

No. 23
The following is a GGA-PBEsol calculation of a relaxed ReRh2Au crystal, from Alexandria via LeMat-Bulk.

Output
ΔE to the lowest computed polymorph in kJ per mole of atoms: 19.80
Total DFT energy (no corrections) in eV/atom: -8.25
D(E_F) in states/eV per cell: 3.62
Magnetization in μB per formula unit: 0.00
ΔE_f in meV/atom: 136

abc: 2.732 3.911 5.428
angles: 90.00 90.00 90.00
Space group Pmm2 (No. 25)
Symmetry-distinct sites (fractional):
Re1 0.000 0.000 0.000 x1
Rh1 0.000 0.000 0.471 x1
Rh2 0.500 0.500 0.213 x1
Au1 0.500 0.500 0.723 x1

***

No. 24
The following is a GGA-PBEsol calculation of a relaxed ReRhAu2 crystal, from Alexandria via LeMat-Bulk.

Output
ΔE to the lowest computed polymorph in kJ per mole of atoms: 19.87
Total DFT energy (no corrections) in eV/atom: -6.93
D(E_F) in states/eV per cell: 3.58
Magnetization in μB per formula unit: 0.00
ΔE_f in meV/atom: 404

abc: 2.770 4.004 5.493
angles: 90.00 90.00 90.00
Space group Pmmm (No. 47)
Symmetry-distinct sites (fractional):
Re1 0.000 0.000 0.000 x1
Rh1 0.000 0.000 0.500 x1
Au1 0.500 0.500 0.248 x2

***

No. 25
The following is a GGA-PBEsol calculation of a relaxed Re2RhAu crystal, from Alexandria via LeMat-Bulk.

Output
ΔE to the lowest computed polymorph in kJ per mole of atoms: 0.00
Total DFT energy (no corrections) in eV/atom: -9.52
D(E_F) in states/eV per cell: 3.60
Magnetization in μB per formula unit: 0.00
ΔE_f in meV/atom: 157

abc: 2.710 3.912 5.558
angles: 90.00 90.00 90.00
Space group Pmm2 (No. 25)
Symmetry-distinct sites (fractional):
Re1 0.000 0.000 0.000 x1
Re2 0.500 0.500 0.231 x1
Rh1 0.000 0.000 0.474 x1
Au1 0.500 0.500 0.731 x1

***

No. 26
The following is a GGA-PBEsol calculation of a relaxed ReRh2Au crystal, from Alexandria via LeMat-Bulk.

Output
ΔE to the lowest computed polymorph in kJ per mole of atoms: 21.55
Total DFT energy (no corrections) in eV/atom: -8.23
D(E_F) in states/eV per cell: 4.92
Magnetization in μB per formula unit: 0.00
ΔE_f in meV/atom: 155

abc: 2.718 2.718 7.849
angles: 90.00 90.00 90.00
Space group P4mm (No. 99)
Symmetry-distinct sites (fractional):
Re1 0.000 0.000 0.000 x1
Rh1 0.000 0.000 0.476 x1
Rh2 0.500 0.500 0.232 x1
Au1 0.500 0.500 0.736 x1

***

No. 27
The following is a GGA-PBEsol calculation of a relaxed ReRh2Au crystal, from Alexandria via LeMat-Bulk.

Output
ΔE to the lowest computed polymorph in kJ per mole of atoms: 3.94
Total DFT energy (no corrections) in eV/atom: -8.41
D(E_F) in states/eV per cell: 9.96
Magnetization in μB per formula unit: 0.00
ΔE_f in meV/atom: -28

abc: 2.7340 2.7340 27.0268
angles: 90.00 90.00 120.00
Space group R-3m (No. 166, hexagonal axes)
Symmetry-distinct sites (fractional):
Re1 0.0000 0.0000 0.0000 x3
Rh1 0.0000 0.0000 0.2549 x6
Au1 0.0000 0.0000 0.5000 x3

***

No. 28
The following is a GGA-PBEsol calculation of a relaxed Re2RhAu crystal, from Alexandria via LeMat-Bulk.

Output
ΔE to the lowest computed polymorph in kJ per mole of atoms: 15.30
Total DFT energy (no corrections) in eV/atom: -9.37
D(E_F) in states/eV per cell: 4.28
Magnetization in μB per formula unit: 0.00
ΔE_f in meV/atom: 316

abc: 3.807 3.807 4.042
angles: 90.00 90.00 90.00
Space group P4/mmm (No. 123)
Symmetry-distinct sites (fractional):
Re1 0.000 0.500 0.000 x2
Rh1 0.000 0.000 0.500 x1
Au1 0.500 0.500 0.500 x1

***

No. 29
The following is a GGA-PBEsol calculation of a relaxed Re2SnRuAu crystal, from Alexandria via LeMat-Bulk.

Output
Total DFT energy (no corrections) in eV/atom: -6.16
D(E_F) in states/eV per cell: 6.83
Magnetization in μB per formula unit: 4.50
ΔE_f in meV/atom: 2847

abc: 4.822 4.822 4.795
angles: 90.00 90.00 90.00
Space group P4/mmm (No. 123)
Symmetry-distinct sites (fractional):
Re1 0.000 0.500 0.000 x2
Sn1 0.000 0.000 0.500 x1
Ru1 0.500 0.500 0.500 x1
Au1 0.000 0.000 0.000 x1